Crystalline LiFe2Pt at its relaxed geometry, computed with PBE-GGA.

Results
formation energy from the elements: -0.038 eV per atom
VASP energy: -6.26 eV per atom

Cell lengths 2.6419, 2.6419, 8.5389 Å; angles 90.00, 90.00, 114.34 degrees
Sites, in units of the cell vectors:
Li (0.0000, 0.0000, 0.0000)
Fe (0.0000, 0.0000, 0.4865)
Fe (0.5000, 0.5000, 0.2647)
Pt (0.5000, 0.5000, 0.7467)

Crystalline LiFePt6 at its relaxed geometry, computed with PBE-GGA.

Results
formation energy from the elements: -0.322 eV per atom
VASP energy: -6.15 eV per atom

Cell lengths 3.9005, 3.9005, 7.7724 Å; angles 90.00, 90.00, 90.00 degrees
Sites, in units of the cell vectors:
Li (0.0000, 0.0000, 0.0000)
Fe (0.0000, 0.0000, 0.5000)
Pt (0.0000, 0.5000, 0.2504)
Pt (0.0000, 0.5000, 0.7496)
Pt (0.5000, 0.0000, 0.2504)
Pt (0.5000, 0.0000, 0.7496)
Pt (0.5000, 0.5000, 0.0000)
Pt (0.5000, 0.5000, 0.5000)

Crystalline LiFe2Pt at its relaxed geometry, computed with PBE-GGA.

Results
formation energy from the elements: 0.067 eV per atom
VASP energy: -6.15 eV per atom

Cell lengths 9.1297, 9.1297, 9.1297 Å; angles 16.78, 16.78, 16.78 degrees
Sites, in units of the cell vectors:
Li (0.0000, 0.0000, 0.0000)
Fe (0.2490, 0.2490, 0.2490)
Fe (0.7510, 0.7510, 0.7510)
Pt (0.5000, 0.5000, 0.5000)

Crystalline LiFe2Pt at its relaxed geometry, computed with PBE-GGA.

Results
formation energy from the elements: 0.300 eV per atom
VASP energy: -5.92 eV per atom

Cell lengths 5.4366, 5.4366, 5.4366 Å; angles 101.73, 101.73, 126.40 degrees
Sites, in units of the cell vectors:
Li (0.0000, 0.0000, 0.0000)
Li (0.7500, 0.2500, 0.5000)
Fe (0.1302, 0.1250, 0.5052)
Fe (0.3750, 0.8698, 0.9948)
Fe (0.6198, 0.6250, 0.4948)
Fe (0.8750, 0.3802, 0.0052)
Pt (0.2500, 0.7500, 0.5000)
Pt (0.5000, 0.5000, 0.0000)

Crystalline Li2FePt2 at its relaxed geometry, computed with PBE-GGA.

Results
distance to the lowest polymorph of the same formula: 0.000 eV/atom
formation energy from the elements: -0.238 eV per atom
VASP energy: -5.11 eV per atom

Cell lengths 6.9470, 6.9470, 2.7455 Å; angles 90.00, 90.00, 90.00 degrees
Sites, in units of the cell vectors:
Li (0.1103, 0.3897, 0.0000)
Li (0.3897, 0.8897, 0.0000)
Li (0.6103, 0.1103, 0.0000)
Li (0.8897, 0.6103, 0.0000)
Fe (0.0000, 0.0000, 0.0000)
Fe (0.5000, 0.5000, 0.0000)
Pt (0.1900, 0.6900, 0.5000)
Pt (0.3100, 0.1900, 0.5000)
Pt (0.6900, 0.8100, 0.5000)
Pt (0.8100, 0.3100, 0.5000)

Crystalline LiFe4Pt at its relaxed geometry, computed with PBE-GGA.

Results
formation energy from the elements: 0.018 eV per atom
VASP energy: -6.95 eV per atom

Cell lengths 4.7569, 4.7569, 4.7569 Å; angles 60.00, 60.00, 60.00 degrees
Sites, in units of the cell vectors:
Li (0.0000, 0.0000, 0.0000)
Fe (0.1245, 0.6252, 0.6252)
Fe (0.6252, 0.1245, 0.6252)
Fe (0.6252, 0.6252, 0.1245)
Fe (0.6252, 0.6252, 0.6252)
Pt (0.2500, 0.2500, 0.2500)

Crystalline LiFe2Pt2 at its relaxed geometry, computed with PBE-GGA.

Results
distance to the lowest polymorph of the same formula: 0.000 eV/atom
formation energy from the elements: 0.003 eV per atom
VASP energy: -6.18 eV per atom

Cell lengths 7.2943, 7.2943, 2.6331 Å; angles 90.00, 90.00, 90.00 degrees
Sites, in units of the cell vectors:
Li (0.0000, 0.0000, 0.0000)
Li (0.5000, 0.5000, 0.0000)
Fe (0.1097, 0.3903, 0.0000)
Fe (0.3903, 0.8903, 0.0000)
Fe (0.6097, 0.1097, 0.0000)
Fe (0.8903, 0.6097, 0.0000)
Pt (0.1862, 0.6862, 0.5000)
Pt (0.3138, 0.1862, 0.5000)
Pt (0.6862, 0.8138, 0.5000)
Pt (0.8138, 0.3138, 0.5000)

Crystalline LiFe2Pt at its relaxed geometry, computed with PBE-GGA.

Results
formation energy from the elements: -0.081 eV per atom
VASP energy: -6.30 eV per atom

Cell lengths 4.7112, 4.7112, 4.7112 Å; angles 134.82, 134.82, 65.81 degrees
Sites, in units of the cell vectors:
Li (0.0000, 0.0000, 0.0000)
Fe (0.2500, 0.7500, 0.5000)
Fe (0.7500, 0.2500, 0.5000)
Pt (0.5000, 0.5000, 0.0000)